No. 1
An optimized crystal structure of SmPdO3, computed with GGA-PBE.

abc: 5.9314 7.6421 5.4663
angles: 90.00 90.00 90.00
Last column: nearest neighbours and their distance in Å.
Space group Pnma (No. 62)
One atom of each set of equivalent atoms:
1 Sm 0.0810 0.2500 0.0266 (multiplicity 4)  6 O 2.31-2.54
2 Pd 0.0000 0.0000 0.5000 (multiplicity 4)  6 O 2.05-2.13
3 O 0.0477 0.7500 0.3727 (multiplicity 4)  2 Pd 2.05
4 O 0.1929 0.5565 0.8151 (multiplicity 8)  2 Pd 2.11-2.13, 1 Sm 2.36

Values from the calculation:
uncorrected energy	-137.170	eV per cell
density	8.17	g cm⁻³

---

No. 2
An optimized crystal structure of PrGdHf, computed with GGA-PBE.

abc: 7.4343 7.4343 7.4343
angles: 90.00 90.00 90.00
Last column: nearest neighbours and their distance in Å.
Space group F-43m (No. 216)
One atom of each set of equivalent atoms:
1 Pr 0.0000 0.0000 0.0000 (multiplicity 4)  4 Hf 3.22
2 Gd 0.0000 0.0000 0.5000 (multiplicity 4)  4 Hf 3.22
3 Hf 0.2500 0.2500 0.7500 (multiplicity 4)  4 Gd 3.22, 4 Pr 3.22

Values from the calculation:
offset from the most stable computed form	0	meV per atom
DFT formation energy	0.841	eV per atom
density	7.71	g cm⁻³

---

No. 3
An optimized crystal structure of LiNb3Sn5, computed with GGA-PBE.

abc: 5.8552 5.8552 7.5166
angles: 90.00 90.00 120.00
Last column: nearest neighbours and their distance in Å.
Space group P6/mmm (No. 191)
One atom of each set of equivalent atoms:
1 Li 0.0000 0.0000 0.0000 (multiplicity 1)  14 Sn 3.66-3.76
2 Nb 0.0000 0.5000 0.5000 (multiplicity 3)  6 Sn 2.89-2.93, 4 Nb 2.93
3 Sn 0.0000 0.0000 0.5000 (multiplicity 1)  6 Nb 2.93
4 Sn 0.3333 0.6667 0.1883 (multiplicity 4)  1 Sn 2.83, 3 Nb 2.89

Values from the calculation:
uncorrected energy	-52.340	eV per cell
density	6.54	g cm⁻³

---

No. 4
An optimized crystal structure of Gd2IBrO2, computed with GGA-PBE.

abc: 3.9234 3.9234 8.9894
angles: 90.00 90.00 90.00
Last column: nearest neighbours and their distance in Å.
Space group P4mm (No. 99)
One atom of each set of equivalent atoms:
1 Gd 0.0000 0.0000 0.0000 (multiplicity 1)  4 O 2.27
2 Gd 0.5000 0.5000 0.2542 (multiplicity 1)  4 O 2.27
3 I 0.0000 0.0000 0.4668 (multiplicity 1)  4 Gd 3.37, 4 O 3.63
4 Br 0.5000 0.5000 0.8170 (multiplicity 1)  4 Gd 3.23, 4 O 3.41
5 O 0.0000 0.5000 0.1276 (multiplicity 2)  4 Gd 2.27

Values from the calculation:
uncorrected energy	-39.351	eV per cell
density	6.64	g cm⁻³

---

No. 5
An optimized crystal structure of Zn3Cu, computed with GGA-PBE.

abc: 5.3753 9.3507 4.2838
angles: 90.00 90.00 90.00
Last column: nearest neighbours and their distance in Å.
Space group Cmcm (No. 63)
One atom of each set of equivalent atoms:
1 Zn 0.0000 0.0836 0.2500 (multiplicity 4)  10 Zn 2.65-2.70, 2 Cu 2.69
2 Zn 0.2449 0.3354 0.2500 (multiplicity 8)  4 Cu 2.63-2.73, 8 Zn 2.63-2.74
3 Cu 0.0000 0.4167 0.7500 (multiplicity 4)  10 Zn 2.63-2.73, 2 Cu 2.65

Values from the calculation:
DFT formation energy	-0.056	eV per atom
density	8.01	g cm⁻³

---

No. 6
An optimized crystal structure of ScTe2Ir, computed with GGA-PBE.

abc: 7.0270 7.0270 7.0270
angles: 90.00 90.00 90.00
Last column: nearest neighbours and their distance in Å.
Space group F-43m (No. 216)
One atom of each set of equivalent atoms:
1 Sc 0.0000 0.0000 0.0000 (multiplicity 4)  4 Te 3.04, 4 Ir 3.04
2 Te 0.0000 0.0000 0.5000 (multiplicity 4)  4 Te 3.04, 4 Ir 3.04
3 Te 0.2500 0.2500 0.2500 (multiplicity 4)  4 Te 3.04, 4 Sc 3.04
4 Ir 0.2500 0.2500 0.7500 (multiplicity 4)  4 Te 3.04, 4 Sc 3.04

Values from the calculation:
uncorrected energy	-84.503	eV per cell
density	9.43	g cm⁻³

---

No. 7
An optimized crystal structure of PrZrPb, computed with GGA-PBE.

abc: 7.2237 7.2237 7.2237
angles: 90.00 90.00 90.00
Last column: nearest neighbours and their distance in Å.
Space group F-43m (No. 216)
One atom of each set of equivalent atoms:
1 Pr 0.0000 0.0000 0.0000 (multiplicity 4)  4 Pb 3.13
2 Zr 0.0000 0.0000 0.5000 (multiplicity 4)  4 Pb 3.13
3 Pb 0.2500 0.2500 0.2500 (multiplicity 4)  4 Zr 3.13, 4 Pr 3.13

Values from the calculation:
offset from the most stable computed form	0	meV per atom
density	7.74	g cm⁻³

---

No. 8
An optimized crystal structure of BaFeAgTe3, computed with GGA-PBE.

abc: 4.3097 14.9131 10.8546
angles: 90.00 90.00 90.00
Last column: nearest neighbours and their distance in Å.
Space group Cmcm (No. 63)
One atom of each set of equivalent atoms:
1 Ba 0.0000 0.2337 0.2500 (multiplicity 4)  8 Te 3.57-3.65, 2 Ag 3.59
2 Fe 0.0000 0.0000 0.0000 (multiplicity 4)  6 Te 2.88-2.94
3 Ag 0.0000 0.4589 0.7500 (multiplicity 4)  4 Te 2.74-2.77
4 Te 0.0000 0.0754 0.7500 (multiplicity 4)  2 Ag 2.77, 2 Fe 2.94
5 Te 0.0000 0.3731 0.5264 (multiplicity 8)  1 Ag 2.74, 2 Fe 2.88

Values from the calculation:
offset from the most stable computed form	63	meV per atom
density	6.51	g cm⁻³

---

No. 9
An optimized crystal structure of Er4AlFe2Ge4, computed with GGA-PBE.

abc: 15.1900 4.1997 6.8544
angles: 90.00 106.76 90.00
Last column: nearest neighbours and their distance in Å.
Space group C2/m (No. 12)
One atom of each set of equivalent atoms:
1 Er 0.0903 0.0000 0.3873 (multiplicity 4)  3 Fe 2.91-3.04, 6 Ge 2.92-3.12
2 Er 0.1511 0.0000 0.9409 (multiplicity 4)  5 Ge 2.87-3.02, 1 Fe 3.02
3 Al 0.0000 0.5000 0.0000 (multiplicity 2)  2 Ge 2.77
4 Fe 0.2208 0.5000 0.6307 (multiplicity 4)  4 Ge 2.39-2.42
5 Ge 0.0670 0.5000 0.6649 (multiplicity 4)  1 Fe 2.41, 1 Ge 2.57
6 Ge 0.2054 0.5000 0.2697 (multiplicity 4)  3 Fe 2.39-2.42

Values from the calculation:
uncorrected energy	-128.742	eV per cell
density	8.71	g cm⁻³

---

No. 10
An optimized crystal structure of CsFeTcP2, computed with GGA-PBE.

abc: 3.9094 3.9094 14.4447
angles: 90.00 90.00 90.00
Last column: nearest neighbours and their distance in Å.
Space group I-4m2 (No. 119)
One atom of each set of equivalent atoms:
1 Cs 0.0000 0.0000 0.0000 (multiplicity 2)  8 P 3.64, 4 Cs 3.91
2 Fe 0.0000 0.5000 0.2500 (multiplicity 2)  4 P 2.32
3 Tc 0.0000 0.5000 0.7500 (multiplicity 2)  4 P 2.32
4 P 0.0000 0.0000 0.3366 (multiplicity 4)  2 Fe 2.32, 2 Tc 2.32

Values from the calculation:
uncorrected energy	-65.272	eV per cell
density	5.25	g cm⁻³

---

No. 11
An optimized crystal structure of B4IrPb, computed with GGA-PBE.

abc: 2.7763 5.6625 8.6037
angles: 90.00 90.00 90.00
Last column: nearest neighbours and their distance in Å.
Space group Immm (No. 71)
One atom of each set of equivalent atoms:
1 B 0.0000 0.1501 0.2209 (multiplicity 8)  3 B 1.70-1.86
2 Ir 0.0000 0.5000 0.5000 (multiplicity 2)  8 B 2.50, 2 Ir 2.78
3 Pb 0.0000 0.5000 0.0000 (multiplicity 2)  12 B 2.75-2.90, 2 Pb 2.78

Values from the calculation:
offset from the most stable computed form	199	meV per atom
density	10.87	g cm⁻³

---

No. 12
An optimized crystal structure of LiPuTlS3, computed with GGA-PBE.

abc: 4.0515 13.5120 10.4583
angles: 90.00 90.00 90.00
Last column: nearest neighbours and their distance in Å.
Space group Cmcm (No. 63)
One atom of each set of equivalent atoms:
1 Li 0.0000 0.0448 0.2500 (multiplicity 4)  4 S 2.39-2.41
2 Pu 0.0000 0.5000 0.0000 (multiplicity 4)  6 S 2.68-2.71
3 Tl 0.0000 0.2327 0.7500 (multiplicity 4)  8 S 3.17-3.52
4 S 0.0000 0.1243 0.0463 (multiplicity 8)  1 Li 2.39
5 S 0.0000 0.4479 0.2500 (multiplicity 4)  2 Li 2.41

Values from the calculation:
uncorrected energy	-151.464	eV per cell
density	6.40	g cm⁻³

---

No. 13
An optimized crystal structure of PrHoZnNi2, computed with GGA-PBE.

abc: 4.2919 5.4302 8.2169
angles: 90.00 90.00 90.00
Last column: nearest neighbours and their distance in Å.
Space group Imm2 (No. 44)
One atom of each set of equivalent atoms:
1 Pr 0.0000 0.0000 0.0000 (multiplicity 2)  6 Ni 2.84-3.00
2 Ho 0.0000 0.0000 0.5944 (multiplicity 2)  6 Ni 2.85-2.99, 2 Zn 3.18
3 Zn 0.0000 0.5000 0.7969 (multiplicity 2)  4 Ni 2.60
4 Ni 0.0000 0.2690 0.2966 (multiplicity 4)  1 Ni 2.51, 2 Zn 2.60

Values from the calculation:
DFT formation energy	-0.403	eV per atom
density	8.47	g cm⁻³

---

No. 14
An optimized crystal structure of ZnCoHgPt, computed with GGA-PBE.

abc: 6.2820 6.2820 6.2820
angles: 90.00 90.00 90.00
Last column: nearest neighbours and their distance in Å.
Space group F-43m (No. 216)
One atom of each set of equivalent atoms:
1 Zn 0.0000 0.0000 0.0000 (multiplicity 4)  4 Co 2.72, 4 Pt 2.72
2 Co 0.2500 0.2500 0.2500 (multiplicity 4)  4 Hg 2.72, 4 Zn 2.72
3 Hg 0.0000 0.0000 0.5000 (multiplicity 4)  4 Pt 2.72, 4 Co 2.72
4 Pt 0.2500 0.2500 0.7500 (multiplicity 4)  4 Hg 2.72, 4 Zn 2.72

Values from the calculation:
offset from the most stable computed form	0	meV per atom
DFT formation energy	0.110	eV per atom
density	13.93	g cm⁻³

---

No. 15
An optimized crystal structure of Li4MgGaAg2, computed with GGA-PBE.

abc: 4.5097 4.5097 6.3982
angles: 90.00 90.00 90.00
Last column: nearest neighbours and their distance in Å.
Space group P-4m2 (No. 115)
One atom of each set of equivalent atoms:
1 Li 0.0000 0.0000 0.0000 (multiplicity 1)  4 Ag 2.80, 4 Li 2.83
2 Li 0.0000 0.5000 0.7331 (multiplicity 2)  4 Li 2.70-2.83, 2 Ga 2.70, 2 Mg 2.83, 1 Ag 3.02
3 Li 0.5000 0.5000 0.5000 (multiplicity 1)  4 Li 2.70, 4 Ag 2.73
4 Mg 0.5000 0.5000 0.0000 (multiplicity 1)  4 Ag 2.80, 4 Li 2.83
5 Ga 0.0000 0.0000 0.5000 (multiplicity 1)  4 Li 2.70, 4 Ag 2.73
6 Ag 0.0000 0.5000 0.2605 (multiplicity 2)  5 Li 2.73-3.02, 2 Ga 2.73, 2 Mg 2.80

Values from the calculation:
uncorrected energy	-19.776	eV per cell
density	4.31	g cm⁻³

---

No. 16
An optimized crystal structure of GdTcOs, computed with GGA-PBE.

abc: 6.3515 6.3515 6.3515
angles: 90.00 90.00 90.00
Last column: nearest neighbours and their distance in Å.
Space group F-43m (No. 216)
One atom of each set of equivalent atoms:
1 Gd 0.0000 0.0000 0.0000 (multiplicity 4)  4 Tc 2.75, 4 Os 2.75
2 Tc 0.2500 0.2500 0.2500 (multiplicity 4)  4 Gd 2.75
3 Os 0.2500 0.2500 0.7500 (multiplicity 4)  4 Gd 2.75

Values from the calculation:
DFT formation energy	1.521	eV per atom
density	11.55	g cm⁻³

---

No. 17
An optimized crystal structure of NiBiW4C2, computed with GGA-PBE.

abc: 3.1230 3.1230 13.8597
angles: 90.00 90.00 120.00
Last column: nearest neighbours and their distance in Å.
Space group P-6m2 (No. 187)
One atom of each set of equivalent atoms:
1 Ni 0.0000 0.0000 0.0000 (multiplicity 1)  6 W 2.63
2 Bi 0.3333 0.6667 0.5000 (multiplicity 1)  6 Bi 3.12, 6 W 3.29
3 W 0.0000 0.0000 0.3017 (multiplicity 2)  3 C 2.11
4 W 0.3333 0.6667 0.1382 (multiplicity 2)  3 C 2.15
5 C 0.6667 0.3333 0.2232 (multiplicity 2)  6 W 2.11-2.15

Values from the calculation:
uncorrected energy	-76.863	eV per cell
density	14.57	g cm⁻³

---

No. 18
An optimized crystal structure of YMgCoSn, computed with GGA-PBE.

abc: 6.7095 6.7095 6.7095
angles: 90.00 90.00 90.00
Last column: nearest neighbours and their distance in Å.
Space group F-43m (No. 216)
One atom of each set of equivalent atoms:
1 Y 0.0000 0.0000 0.0000 (multiplicity 4)  4 Co 2.91, 4 Mg 2.91
2 Mg 0.2500 0.2500 0.2500 (multiplicity 4)  4 Sn 2.91, 4 Y 2.91
3 Co 0.2500 0.2500 0.7500 (multiplicity 4)  4 Sn 2.91, 4 Y 2.91
4 Sn 0.0000 0.0000 0.5000 (multiplicity 4)  4 Co 2.91, 4 Mg 2.91

Values from the calculation:
offset from the most stable computed form	0	meV per atom
density	6.40	g cm⁻³

---

No. 19
An optimized crystal structure of CsNb3Sb5, computed with GGA-PBE.

abc: 5.8111 5.8111 9.6499
angles: 90.00 90.00 120.00
Last column: nearest neighbours and their distance in Å.
Space group P6/mmm (No. 191)
One atom of each set of equivalent atoms:
1 Cs 0.0000 0.0000 0.0000 (multiplicity 1)  12 Sb 4.15
2 Nb 0.0000 0.5000 0.5000 (multiplicity 3)  4 Nb 2.91, 6 Sb 2.91
3 Sb 0.0000 0.0000 0.5000 (multiplicity 1)  6 Nb 2.91
4 Sb 0.3333 0.6667 0.2534 (multiplicity 4)  3 Nb 2.91

Values from the calculation:
uncorrected energy	-54.441	eV per cell
density	6.00	g cm⁻³

---

No. 20
An optimized crystal structure of CuAsPb, computed with GGA-PBE.

abc: 5.0310 8.7536 5.9635
angles: 90.00 90.00 90.00
Last column: nearest neighbours and their distance in Å.
Space group Cmcm (No. 63)
One atom of each set of equivalent atoms:
1 Cu 0.0000 0.0000 0.0000 (multiplicity 4)  2 Cu 2.98, 6 As 3.27-3.28, 6 Pb 3.27-3.28
2 As 0.0000 0.3338 0.2500 (multiplicity 4)  5 Pb 2.91-2.98
3 Pb 0.0000 0.3335 0.7500 (multiplicity 4)  5 As 2.91-2.98

Values from the calculation:
offset from the most stable computed form	432	meV per atom
density	8.74	g cm⁻³